A plane-wave DFT calculation with PBE-GGA was carried out for a relaxed SrEuTe2 crystal.

- Symmetry: R-3m
- Raw formation energy: -1.71 eV per atom
- Total moment: 21.0 μB per cell

abc: 4.6970 4.6970 23.0348
angles: 90.00 90.00 120.00
With the nearest neighbours (Å) after each atom.
Positions (direct):
Sr: 0.0000 0.0000 0.0000  6 Te 3.35
Sr: 0.3333 0.6667 0.6667  6 Te 3.35
Sr: 0.6667 0.3333 0.3333  6 Te 3.35
Eu: 0.0000 0.0000 0.5000  6 Te 3.30
Eu: 0.3333 0.6667 0.1667  6 Te 3.30
Eu: 0.6667 0.3333 0.8333  6 Te 3.30
Te: 0.0000 0.0000 0.2482  3 Eu 3.30, 3 Sr 3.35
Te: 0.0000 0.0000 0.7518  3 Eu 3.30, 3 Sr 3.35
Te: 0.3333 0.6667 0.4185  3 Eu 3.30, 3 Sr 3.35
Te: 0.3333 0.6667 0.9148  3 Eu 3.30, 3 Sr 3.35
Te: 0.6667 0.3333 0.0852  3 Eu 3.30, 3 Sr 3.35
Te: 0.6667 0.3333 0.5815  3 Eu 3.30, 3 Sr 3.35